(1)
The following is a PBE-GGA calculation of Cs3Tb2ThSe6 after structural relaxation, from Alexandria via LeMat-Bulk.

Computed properties:
density of states at the Fermi level: 0.35 states/eV/atom

```
12
Lattice="3.715 -6.435 0.000 3.715 6.435 0.000 -2.476 0.000 8.428" Properties=species:S:1:pos:R:3 pbc="T T T"
Cs 0.000 0.000 0.000
Cs 3.715 2.147 0.000
Cs 3.715 -2.147 0.000
Tb 2.477 4.290 4.214
Tb 2.477 -4.290 4.214
Th 2.477 0.000 4.214
Se 1.232 2.157 2.623
Se -0.013 0.000 5.806
Se 1.232 -2.157 2.623
Se 3.721 2.157 5.805
Se 4.966 0.000 2.622
Se 3.721 -2.157 5.805
```



(2)
The following is a PBE-GGA calculation of CsTbTiSe4 after structural relaxation, from Alexandria via LeMat-Bulk.

Computed properties:
density of states at the Fermi level: 0.00 states/eV/atom

```
14
Lattice="6.859 0.000 0.000 0.000 7.152 0.000 -3.215 0.000 9.407" Properties=species:S:1:pos:R:3 pbc="T T T"
Cs 0.228 1.788 4.155
Cs 3.415 5.364 5.253
Tb -1.099 1.788 9.004
Tb 4.743 5.364 0.403
Ti 1.325 5.364 1.498
Ti 2.318 1.788 7.909
Se -2.630 5.364 8.686
Se -0.575 5.364 2.921
Se 0.759 3.614 7.577
Se 0.759 7.114 7.577
Se 2.885 0.038 1.830
Se 2.885 3.538 1.830
Se 4.219 1.788 6.486
Se 6.273 1.788 0.721
```



(3)
The following is a PBE-GGA calculation of Cs3Tb3TmSe8 after structural relaxation, from Alexandria via LeMat-Bulk.

Computed properties:
density of states at the Fermi level: 0.68 states/eV/atom

```
15
Lattice="7.264 -4.191 0.000 7.264 4.191 0.000 -4.849 0.000 8.571" Properties=species:S:1:pos:R:3 pbc="T T T"
Cs 0.000 0.000 0.000
Cs 3.632 2.096 0.000
Cs 3.632 -2.096 0.000
Tb 1.208 2.096 4.286
Tb 1.208 -2.096 4.286
Tb 4.839 0.000 4.286
Tm -2.424 0.000 4.286
Se -0.030 0.000 5.855
Se 3.642 2.119 5.854
Se 6.036 2.119 2.717
Se 2.418 0.000 2.690
Se 7.261 0.000 5.882
Se 3.642 -2.119 5.854
Se 6.036 -2.119 2.717
Se 9.708 0.000 2.717
```



(4)
The following is a PBE-GGA calculation of Cs3TbTm2Se6 after structural relaxation, from Alexandria via LeMat-Bulk.

Computed properties:
density of states at the Fermi level: 0.00 states/eV/atom

```
12
Lattice="3.672 -6.361 0.000 3.672 6.361 0.000 -2.449 0.000 8.366" Properties=species:S:1:pos:R:3 pbc="T T T"
Cs 0.000 0.000 0.000
Cs 3.672 2.107 0.000
Cs 3.672 -2.107 0.000
Tb 2.448 0.000 4.183
Tm 2.448 4.239 4.183
Tm 2.448 -4.239 4.183
Se 1.209 2.146 2.641
Se -0.030 0.000 5.721
Se 1.209 -2.146 2.641
Se 3.687 2.146 5.725
Se 4.927 0.000 2.645
Se 3.687 -2.146 5.725
```



(5)
The following is a PBE-GGA calculation of Cs4Tb3TmSe8 after structural relaxation, from Alexandria via LeMat-Bulk.

Computed properties:
density of states at the Fermi level: 0.00 states/eV/atom

```
16
Lattice="4.268 2.464 8.375 -4.268 2.464 8.375 0.000 -4.929 8.375" Properties=species:S:1:pos:R:3 pbc="T T T"
Cs 0.000 0.000 0.000
Cs -2.134 -1.232 8.375
Cs -2.134 1.232 16.750
Cs 0.000 2.464 8.375
Tb -4.268 0.000 12.562
Tb -2.134 1.232 4.187
Tb 2.134 1.232 4.187
Tm 0.000 0.000 12.562
Se 0.000 0.000 5.748
Se -2.111 -1.219 14.112
Se 0.000 -2.438 11.013
Se -2.111 1.219 11.013
Se 2.111 -1.219 14.112
Se 0.000 2.438 14.112
Se 2.111 1.219 11.013
Se 0.000 0.000 19.377
```



(6)
The following is a PBE-GGA calculation of Cs3Tb2TmSe6 after structural relaxation, from Alexandria via LeMat-Bulk.

Computed properties:
density of states at the Fermi level: 0.00 states/eV/atom

```
12
Lattice="3.691 -6.394 0.000 3.691 6.394 0.000 -2.461 0.000 8.373" Properties=species:S:1:pos:R:3 pbc="T T T"
Cs 0.000 0.000 0.000
Cs 3.691 2.144 0.000
Cs 3.691 -2.144 0.000
Tb 2.461 4.264 4.187
Tb 2.461 -4.264 4.187
Tm 2.461 0.000 4.187
Se 1.245 2.105 2.638
Se 0.030 0.000 5.739
Se 1.245 -2.105 2.638
Se 3.676 2.105 5.735
Se 4.891 0.000 2.634
Se 3.676 -2.105 5.735
```



(7)
The following is a PBE-GGA calculation of Cs2TbTmSe4 after structural relaxation, from Alexandria via LeMat-Bulk.

Computed properties:
density of states at the Fermi level: 0.00 states/eV/atom

```
8
Lattice="7.364 0.000 0.000 0.000 4.252 0.000 -2.454 0.000 8.368" Properties=species:S:1:pos:R:3 pbc="T T T"
Cs 0.000 0.000 0.000
Cs 3.682 2.126 0.000
Tb -1.227 2.126 4.184
Tm 2.455 0.000 4.184
Se 0.027 0.000 5.735
Se 1.255 2.126 2.645
Se 3.656 2.126 5.723
Se 4.883 0.000 2.633
```



(8)
The following is a PBE-GGA calculation of Cs2TbU2Se6 after structural relaxation, from Alexandria via LeMat-Bulk.

Computed properties:
density of states at the Fermi level: 1.18 states/eV/atom

```
11
Lattice="3.642 -6.311 0.000 3.642 6.311 0.000 -2.394 0.000 8.603" Properties=species:S:1:pos:R:3 pbc="T T T"
Cs 3.642 4.219 0.000
Cs 3.642 -4.219 0.000
Tb -1.197 0.000 4.301
U 2.445 2.098 4.301
U 2.445 -2.098 4.301
Se 0.024 2.119 5.871
Se 1.244 0.000 2.729
Se 0.024 -2.119 5.871
Se 4.865 2.119 2.731
Se 3.646 0.000 5.874
Se 4.865 -2.119 2.731
```



(9)
The following is a PBE-GGA calculation of Cs3TbU2Se9 after structural relaxation, from Alexandria via LeMat-Bulk.

Computed properties:
density of states at the Fermi level: 0.32 states/eV/atom

```
15
Lattice="7.786 0.000 0.000 -3.893 6.743 0.000 0.000 0.000 9.563" Properties=species:S:1:pos:R:3 pbc="T T T"
Cs 0.000 0.000 0.000
Cs 0.000 4.495 6.343
Cs 3.893 2.248 3.220
Tb 0.000 0.000 4.782
U 0.000 4.495 1.598
U 3.893 2.248 7.966
Se -1.946 3.371 0.000
Se 0.000 2.310 3.100
Se -1.893 5.588 3.100
Se 2.000 1.155 6.463
Se 3.893 0.000 0.000
Se 1.946 3.371 0.000
Se 1.893 5.588 3.100
Se 5.786 1.155 6.463
Se 3.893 4.433 6.463
```



(10)
The following is a PBE-GGA calculation of Cs2TbUSe6 after structural relaxation, from Alexandria via LeMat-Bulk.

Computed properties:
density of states at the Fermi level: 0.63 states/eV/atom

```
10
Lattice="0.000 5.533 5.533 5.533 0.000 5.533 5.533 5.533 0.000" Properties=species:S:1:pos:R:3 pbc="T T T"
Cs 2.767 2.767 2.767
Cs 8.300 8.300 8.300
Tb 0.000 0.000 0.000
U 5.533 5.533 5.533
Se 5.533 5.533 2.848
Se 5.533 2.848 5.533
Se 8.218 5.533 5.533
Se 2.848 5.533 5.533
Se 5.533 8.218 5.533
Se 5.533 5.533 8.218
```



(11)
The following is a PBE-GGA calculation of Cs4TbU3Se8 after structural relaxation, from Alexandria via LeMat-Bulk.

Computed properties:
density of states at the Fermi level: 1.18 states/eV/atom

```
16
Lattice="4.276 2.469 8.431 -4.276 2.469 8.431 0.000 -4.937 8.431" Properties=species:S:1:pos:R:3 pbc="T T T"
Cs 0.000 0.000 0.000
Cs -2.138 -1.234 8.431
Cs -2.138 1.234 16.862
Cs 0.000 2.469 8.431
Tb 0.000 0.000 12.646
U -4.276 0.000 12.646
U -2.138 1.234 4.215
U 2.138 1.234 4.215
Se 0.000 0.000 5.796
Se -2.132 -1.231 14.226
Se 0.000 -2.462 11.066
Se -2.132 1.231 11.066
Se 2.132 -1.231 14.226
Se 0.000 2.462 14.226
Se 2.132 1.231 11.066
Se 0.000 0.000 19.497
```



(12)
The following is a PBE-GGA calculation of Cs2TbUSe4 after structural relaxation, from Alexandria via LeMat-Bulk.

Computed properties:
density of states at the Fermi level: 0.96 states/eV/atom

```
8
Lattice="7.427 0.000 0.000 0.000 4.288 0.000 -2.476 0.000 8.406" Properties=species:S:1:pos:R:3 pbc="T T T"
Cs 0.000 0.000 0.000
Cs 3.713 2.144 0.000
Tb -1.238 2.144 4.203
U 2.475 0.000 4.203
Se -0.008 0.000 5.773
Se 1.232 2.144 2.632
Se 3.718 2.144 5.774
Se 4.959 0.000 2.632
```



(13)
The following is a PBE-GGA calculation of Cs3TbU2Se6 after structural relaxation, from Alexandria via LeMat-Bulk.

Computed properties:
density of states at the Fermi level: 0.86 states/eV/atom

```
12
Lattice="3.706 -6.419 0.000 3.706 6.419 0.000 -2.470 0.000 8.421" Properties=species:S:1:pos:R:3 pbc="T T T"
Cs 0.000 0.000 0.000
Cs 3.706 2.134 0.000
Cs 3.706 -2.134 0.000
Tb 2.471 0.000 4.211
U 2.471 4.278 4.211
U 2.471 -4.278 4.211
Se 1.236 2.139 2.634
Se 0.001 0.000 5.786
Se 1.236 -2.139 2.634
Se 3.706 2.139 5.787
Se 4.941 0.000 2.635
Se 3.706 -2.139 5.787
```



(14)
The following is a PBE-GGA calculation of Cs4Tb3USe8 after structural relaxation, from Alexandria via LeMat-Bulk.

Computed properties:
density of states at the Fermi level: 0.64 states/eV/atom

```
16
Lattice="4.292 2.478 8.388 -4.292 2.478 8.388 0.000 -4.956 8.388" Properties=species:S:1:pos:R:3 pbc="T T T"
Cs 0.000 0.000 0.000
Cs -2.146 -1.239 8.388
Cs -2.146 1.239 16.775
Cs 0.000 2.478 8.388
Tb -4.292 0.000 12.582
Tb -2.146 1.239 4.194
Tb 2.146 1.239 4.194
U 0.000 0.000 12.582
Se -2.153 -1.243 14.145
Se 0.000 0.000 5.755
Se 0.000 -2.486 11.018
Se -2.153 1.243 11.018
Se 2.153 -1.243 14.145
Se 0.000 2.486 14.145
Se 0.000 0.000 19.408
Se 2.153 1.243 11.018
```



(15)
The following is a PBE-GGA calculation of Cs3TbY2Se6 after structural relaxation, from Alexandria via LeMat-Bulk.

Computed properties:
density of states at the Fermi level: 0.00 states/eV/atom

```
12
Lattice="3.702 -6.412 0.000 3.702 6.412 0.000 -2.468 0.000 8.375" Properties=species:S:1:pos:R:3 pbc="T T T"
Cs 0.000 0.000 0.000
Cs 3.702 2.137 0.000
Cs 3.702 -2.137 0.000
Tb 2.468 0.000 4.188
Y 2.468 4.275 4.188
Y 2.468 -4.275 4.188
Se 1.232 2.141 2.630
Se -0.004 0.000 5.745
Se 1.232 -2.141 2.630
Se 3.704 2.141 5.745
Se 4.941 0.000 2.630
Se 3.704 -2.141 5.745
```



(16)
The following is a PBE-GGA calculation of CsTbZnSe3 after structural relaxation, from Alexandria via LeMat-Bulk.

Computed properties:
density of states at the Fermi level: 0.00 states/eV/atom

```
12
Lattice="9.748 0.000 0.000 0.000 4.200 0.000 -3.797 0.000 9.584" Properties=species:S:1:pos:R:3 pbc="T T T"
Cs 1.185 1.050 2.334
Cs 4.766 3.150 7.250
Tb -0.047 3.150 8.261
Tb 5.998 1.050 1.323
Zn -1.509 1.050 5.852
Zn 7.460 3.150 3.732
Se -2.066 1.050 8.225
Se -0.197 3.150 5.210
Se 4.040 3.150 1.498
Se 1.911 1.050 8.086
Se 6.148 1.050 4.374
Se 8.017 3.150 1.359
```



(17)
The following is a PBE-GGA calculation of CsTbZnSe3 after structural relaxation, from Alexandria via LeMat-Bulk.

Computed properties:
density of states at the Fermi level: 0.00 states/eV/atom

```
12
Lattice="2.096 -8.148 0.000 2.096 8.148 0.000 0.000 0.000 11.059" Properties=species:S:1:pos:R:3 pbc="T T T"
Cs 2.096 4.179 8.294
Cs 2.096 -4.179 2.765
Tb 2.096 0.000 0.000
Tb 2.096 0.000 5.530
Zn 2.096 7.538 2.765
Zn 2.096 -7.538 8.294
Se 2.096 6.257 0.668
Se 2.096 6.257 4.861
Se 2.096 0.911 2.765
Se 2.096 -0.911 8.294
Se 2.096 -6.257 6.198
Se 2.096 -6.257 10.391
```



(18)
The following is a PBE-GGA calculation of Cs2TbZn2Se4 after structural relaxation, from Alexandria via LeMat-Bulk.

Computed properties:
density of states at the Fermi level: 0.42 states/eV/atom

```
9
Lattice="8.288 -2.086 0.000 8.288 2.086 0.000 -3.171 0.000 8.038" Properties=species:S:1:pos:R:3 pbc="T T T"
Cs 1.974 0.000 0.482
Cs 11.431 0.000 7.556
Tb -1.586 0.000 4.019
Zn 3.690 0.000 3.985
Zn 9.714 0.000 4.053
Se 0.936 0.000 5.482
Se 5.526 0.000 5.689
Se 7.879 0.000 2.349
Se 12.469 0.000 2.556
```



(19)
The following is a PBE-GGA calculation of Cs3Tb2ZrSe6 after structural relaxation, from Alexandria via LeMat-Bulk.

Computed properties:
density of states at the Fermi level: 0.37 states/eV/atom

```
12
Lattice="3.618 -6.266 0.000 3.618 6.266 0.000 -2.414 0.000 8.393" Properties=species:S:1:pos:R:3 pbc="T T T"
Cs 0.000 0.000 0.000
Cs 3.618 2.126 0.000
Cs 3.618 -2.126 0.000
Tb 2.411 4.181 4.196
Tb 2.411 -4.181 4.196
Zr 2.411 0.000 4.196
Se 1.253 2.006 2.641
Se 0.096 0.000 5.763
Se 1.253 -2.006 2.641
Se 3.568 2.006 5.751
Se 4.725 0.000 2.630
Se 3.568 -2.006 5.751
```



| no. | formation energy from raw total energies (meV per atom) |
| --- | --- |
| 1 | -1662.0 |
| 2 | -1458.2 |
| 3 | -1668.6 |
| 4 | -1717.0 |
| 5 | -1725.8 |
| 6 | -1724.0 |
| 7 | -1720.0 |
| 8 | -1428.0 |
| 9 | -1261.1 |
| 10 | -1259.1 |
| 11 | -1324.0 |
| 12 | -1450.9 |
| 13 | -1367.5 |
| 14 | -1586.6 |
| 15 | -1735.2 |
| 16 | -1403.0 |
| 17 | -1427.4 |
| 18 | -1101.8 |
| 19 | -1559.8 |